Run 1
PmSmHo6: optimized geometry, PBE.

abc: 5.022 5.022 10.044
angles: 90.00 90.00 90.00
Positions (direct):
Pm (0.000, 0.000, 0.500)
Sm (0.000, 0.000, 0.000)
Ho (0.500, 0.500, 0.000)
Ho (0.500, 0.500, 0.500)
Ho (0.500, 0.000, 0.250)
Ho (0.500, 0.000, 0.750)
Ho (0.000, 0.500, 0.250)
Ho (0.000, 0.500, 0.750)

---

Run 2
PmSmHo6: optimized geometry, PBE.

abc: 6.070 6.070 9.345
angles: 86.93 117.07 112.44
Positions (direct):
Pm (0.500, 0.000, 0.500)
Sm (0.000, 0.000, 0.000)
Ho (0.361, 0.457, 0.299)
Ho (0.842, 0.938, 0.299)
Ho (0.158, 0.062, 0.701)
Ho (0.639, 0.543, 0.701)
Ho (0.701, 0.374, 0.075)
Ho (0.299, 0.626, 0.925)

---

Which one is most stable, and which one is least stable? run 1 is the most stable of them, while run 2 is the least stable.

---

Run 1
Pm2Sm8Ho: optimized geometry, PBE.

abc: 6.758 10.316 10.316
angles: 38.41 59.56 59.56
Positions (direct):
Pm (0.592, 0.803, 0.803)
Pm (0.408, 0.197, 0.197)
Sm (0.229, 0.350, 0.825)
Sm (0.771, 0.175, 0.650)
Sm (0.176, 0.756, 0.756)
Sm (0.824, 0.244, 0.244)
Sm (0.229, 0.825, 0.350)
Sm (0.771, 0.650, 0.175)
Sm (0.731, 0.590, 0.590)
Sm (0.269, 0.410, 0.410)
Ho (0.000, 0.000, 0.000)

---

Run 2
Pm2Sm8Ho: optimized geometry, PBE.

abc: 5.122 8.107 9.574
angles: 104.74 105.52 90.00
Positions (direct):
Pm (0.227, 0.636, 0.454)
Pm (0.773, 0.364, 0.546)
Sm (0.590, 0.453, 0.181)
Sm (0.319, 0.091, 0.637)
Sm (0.136, 0.180, 0.271)
Sm (0.045, 0.728, 0.090)
Sm (0.864, 0.820, 0.729)
Sm (0.681, 0.909, 0.363)
Sm (0.410, 0.547, 0.819)
Sm (0.955, 0.272, 0.910)
Ho (0.500, 0.000, 0.000)

---

Which one is most stable, and which one is least stable? run 2 is the most stable of them, while run 1 is the least stable.

---

Run 1
Pm3Sm2Ho5: optimized geometry, PBE.

abc: 9.387 9.378 11.127
angles: 124.59 124.61 69.71
Positions (direct):
Pm (0.229, 0.979, 0.958)
Pm (0.771, 0.021, 0.042)
Pm (0.725, 0.482, 0.255)
Pm (0.275, 0.518, 0.745)
Pm (0.030, 0.773, 0.255)
Pm (0.970, 0.227, 0.745)
Sm (0.767, 0.024, 0.745)
Sm (0.233, 0.976, 0.255)
Sm (0.477, 0.720, 0.745)
Sm (0.523, 0.280, 0.255)
Ho (0.270, 0.520, 0.041)
Ho (0.730, 0.480, 0.959)
Ho (0.027, 0.777, 0.554)
Ho (0.525, 0.275, 0.551)
Ho (0.973, 0.223, 0.446)
Ho (0.475, 0.725, 0.449)
Ho (0.873, 0.620, 0.733)
Ho (0.127, 0.380, 0.267)
Ho (0.360, 0.112, 0.733)
Ho (0.640, 0.888, 0.267)

---

Run 2
Pm3Sm2Ho5: optimized geometry, PBE.

abc: 10.947 9.932 9.932
angles: 56.60 56.56 56.56
Positions (direct):
Pm (0.250, 0.000, 0.000)
Pm (0.750, 0.000, 0.000)
Pm (0.372, 0.378, 0.878)
Pm (0.628, 0.622, 0.122)
Pm (0.872, 0.878, 0.378)
Pm (0.128, 0.122, 0.622)
Sm (0.125, 0.774, 0.976)
Sm (0.875, 0.226, 0.024)
Sm (0.625, 0.976, 0.774)
Sm (0.375, 0.024, 0.226)
Ho (0.250, 0.500, 0.500)
Ho (0.750, 0.500, 0.500)
Ho (0.502, 0.748, 0.748)
Ho (0.998, 0.252, 0.252)
Ho (0.498, 0.252, 0.252)
Ho (0.002, 0.748, 0.748)
Ho (0.123, 0.465, 0.290)
Ho (0.877, 0.535, 0.710)
Ho (0.623, 0.290, 0.465)
Ho (0.377, 0.710, 0.535)

---

Which one is most stable, and which one is least stable? run 1 is the most stable of them, while run 2 is the least stable.

---

Run 1
Pm2SmHo8: optimized geometry, PBE.

abc: 5.510 8.086 9.379
angles: 115.53 107.08 90.00
Positions (direct):
Pm (0.200, 0.700, 0.401)
Pm (0.800, 0.300, 0.599)
Sm (0.500, 0.000, 0.000)
Ho (0.638, 0.846, 0.276)
Ho (0.362, 0.570, 0.724)
Ho (0.161, 0.161, 0.322)
Ho (0.000, 0.293, 0.000)
Ho (0.839, 0.839, 0.678)
Ho (0.638, 0.430, 0.276)
Ho (0.362, 0.154, 0.724)
Ho (0.000, 0.707, 0.000)

---

Run 2
Pm2SmHo8: optimized geometry, PBE.

abc: 5.029 7.954 9.405
angles: 104.70 105.51 90.00
Positions (direct):
Pm (0.773, 0.363, 0.545)
Pm (0.227, 0.637, 0.455)
Sm (0.500, 0.000, 0.000)
Ho (0.410, 0.545, 0.820)
Ho (0.681, 0.908, 0.363)
Ho (0.864, 0.820, 0.728)
Ho (0.955, 0.273, 0.910)
Ho (0.136, 0.180, 0.272)
Ho (0.319, 0.092, 0.637)
Ho (0.590, 0.455, 0.180)
Ho (0.045, 0.727, 0.090)

---

Which one is most stable, and which one is least stable? run 2 is the most stable of them, while run 1 is the least stable.

---

Run 1
PmSm2Ho4: optimized geometry, PBE.

abc: 6.299 6.762 11.188
angles: 89.58 106.39 90.07
Positions (direct):
Pm (0.154, 0.889, 0.145)
Pm (0.846, 0.111, 0.855)
Sm (0.585, 0.748, 0.000)
Sm (0.415, 0.252, 0.000)
Sm (0.297, 0.180, 0.430)
Sm (0.703, 0.820, 0.570)
Ho (0.562, 0.535, 0.287)
Ho (0.013, 0.609, 0.856)
Ho (0.987, 0.391, 0.144)
Ho (0.726, 0.037, 0.287)
Ho (0.871, 0.323, 0.571)
Ho (0.274, 0.963, 0.713)
Ho (0.438, 0.465, 0.713)
Ho (0.129, 0.677, 0.429)

---

Run 2
PmSm2Ho4: optimized geometry, PBE.

abc: 3.541 8.777 8.573
angles: 119.08 101.92 90.01
Positions (direct):
Pm (0.000, 0.000, 0.000)
Sm (0.069, 0.428, 0.139)
Sm (0.931, 0.572, 0.861)
Ho (0.294, 0.707, 0.588)
Ho (0.355, 0.158, 0.709)
Ho (0.706, 0.293, 0.412)
Ho (0.645, 0.842, 0.291)

---

Which one is most stable, and which one is least stable? run 1 is the most stable of them, while run 2 is the least stable.

---

Run 1
Pm4SmHo5: optimized geometry, PBE.

abc: 5.975 8.090 8.090
angles: 82.16 68.33 68.33
Positions (direct):
Pm (0.461, 0.325, 0.675)
Pm (0.786, 0.675, 0.675)
Pm (0.136, 0.325, 0.325)
Pm (0.461, 0.675, 0.325)
Sm (0.209, 0.000, 0.000)
Ho (0.754, 0.378, 0.000)
Ho (0.133, 0.000, 0.622)
Ho (0.755, 0.000, 0.378)
Ho (0.133, 0.622, 0.000)
Ho (0.682, 0.000, 0.000)

---

Run 2
Pm4SmHo5: optimized geometry, PBE.

abc: 3.537 11.191 8.782
angles: 90.13 101.62 90.02
Positions (direct):
Pm (0.654, 0.250, 0.311)
Pm (0.968, 0.251, 0.939)
Pm (0.346, 0.750, 0.689)
Pm (0.032, 0.749, 0.061)
Sm (0.500, 0.000, 0.000)
Ho (0.173, 0.549, 0.346)
Ho (0.173, 0.948, 0.349)
Ho (0.827, 0.052, 0.651)
Ho (0.500, 0.500, 0.000)
Ho (0.827, 0.451, 0.654)

---

Which one is most stable, and which one is least stable? run 2 is the most stable of them, while run 1 is the least stable.

---

Run 1
Pm7Sm2Ho: optimized geometry, PBE.

abc: 5.425 9.643 9.643
angles: 126.21 90.00 90.00
Positions (direct):
Pm (0.000, 0.795, 0.205)
Pm (0.000, 0.205, 0.795)
Pm (0.500, 0.071, 0.289)
Pm (0.500, 0.929, 0.711)
Pm (0.500, 0.289, 0.071)
Pm (0.500, 0.711, 0.929)
Pm (0.500, 0.500, 0.500)
Sm (0.500, 0.705, 0.295)
Sm (0.500, 0.295, 0.705)
Ho (0.000, 0.000, 0.000)

---

Run 2
Pm7Sm2Ho: optimized geometry, PBE.

abc: 3.542 10.328 10.328
angles: 108.84 90.00 90.00
Positions (direct):
Pm (0.000, 0.677, 0.323)
Pm (0.000, 0.323, 0.677)
Pm (0.500, 0.128, 0.382)
Pm (0.500, 0.872, 0.618)
Pm (0.500, 0.382, 0.128)
Pm (0.500, 0.618, 0.872)
Pm (0.500, 0.500, 0.500)
Sm (0.500, 0.831, 0.169)
Sm (0.500, 0.169, 0.831)
Ho (0.000, 0.000, 0.000)

---

Which one is most stable, and which one is least stable? run 2 is the most stable of them, while run 1 is the least stable.

---

Run 1
Pm5Sm2Ho2: optimized geometry, PBE.

abc: 6.257 9.590 9.584
angles: 141.90 108.93 90.12
Positions (direct):
Pm (0.444, 0.888, 0.223)
Pm (0.556, 0.112, 0.777)
Pm (0.112, 0.223, 0.556)
Pm (0.888, 0.777, 0.444)
Pm (0.000, 0.000, 0.000)
Sm (0.334, 0.666, 0.666)
Sm (0.666, 0.334, 0.334)
Ho (0.222, 0.445, 0.111)
Ho (0.778, 0.555, 0.889)

---

Run 2
Pm5Sm2Ho2: optimized geometry, PBE.

abc: 12.943 6.211 10.458
angles: 107.27 128.23 90.00
Positions (direct):
Pm (0.152, 0.617, 0.905)
Pm (0.848, 0.712, 0.095)
Pm (0.254, 0.117, 0.905)
Pm (0.746, 0.212, 0.095)
Pm (0.330, 0.152, 0.287)
Pm (0.670, 0.864, 0.713)
Pm (0.457, 0.652, 0.287)
Pm (0.543, 0.364, 0.713)
Pm (0.072, 0.676, 0.500)
Pm (0.928, 0.176, 0.500)
Sm (0.000, 0.083, 0.000)
Sm (0.500, 0.583, 0.000)
Sm (0.194, 0.203, 0.500)
Sm (0.806, 0.703, 0.500)
Ho (0.186, 0.651, 0.272)
Ho (0.814, 0.379, 0.728)
Ho (0.587, 0.151, 0.272)
Ho (0.413, 0.879, 0.728)

---

Which one is most stable, and which one is least stable? run 1 is the most stable of them, while run 2 is the least stable.